Compound: La2ScBi
Source: Alexandria
Functional: PBE-GGA
Structure: optimized geometry Values from VASP.

```
&SYSTEM
  ibrav = 0, nat = 4, ntyp = 3
/
ATOMIC_SPECIES
La 138.91 La.upf
Bi 208.98 Bi.upf
Sc 44.96 Sc.upf
ATOMIC_POSITIONS crystal
La 0.091 0.091 0.727
La 0.909 0.909 0.273
Bi 0.000 0.000 0.000
Sc 0.500 0.500 0.500
CELL_PARAMETERS angstrom
3.559 0.000 0.000
1.779 3.082 0.000
1.779 1.027 12.169
```

Calculated values
offset from the most stable computed form = 435 meV/atom
E_tot = -4.992 eV per atom
crystal system = trigonal
size of the total moment = 0.0 μB per formula unit
symmetry = R-3m, No. 166
DFT formation energy = 0.025 eV/atom